1.
# Pr2HoHfN4 | Alexandria | GGA-PBE | optimized geometry
# * raw formation energy: -35.32 kcal/mol of atoms
# * magnetization: 0.00 μB per atom
# * final energy: -0.6399 Ry per atom
data_Pr2HoHfN4
_chemical_formula_sum 'Pr2 Ho1 Hf1 N4'
_cell_length_a 6.014
_cell_length_b 3.464
_cell_length_c 6.114
_cell_angle_alpha 90.00
_cell_angle_beta 108.93
_cell_angle_gamma 90.00
_symmetry_space_group_name_H-M 'P 1 2/m 1'
_symmetry_Int_Tables_number 10
_symmetry_space_group_name_Hall '-P 2y'
loop_
_atom_site_label
_atom_site_fract_x
_atom_site_fract_y
_atom_site_fract_z
Pr1 0.000 0.000 0.000
Pr2 0.500 0.500 0.000
Ho1 0.000 0.500 0.500
Hf1 0.500 0.000 0.500
N1 0.256 0.000 0.721
N2 0.274 0.500 0.285



2.
# PrHo2HfN4 | Alexandria | GGA-PBE | optimized geometry
# * raw formation energy: -36.92 kcal/mol of atoms
# * magnetization: 0.00 μB per atom
# * final energy: -0.6431 Ry per atom
data_PrHo2HfN4
_chemical_formula_sum 'Pr1 Ho2 Hf1 N4'
_cell_length_a 5.931
_cell_length_b 3.430
_cell_length_c 6.002
_cell_angle_alpha 90.00
_cell_angle_beta 109.20
_cell_angle_gamma 90.00
_symmetry_space_group_name_H-M 'P 1 2/m 1'
_symmetry_Int_Tables_number 10
_symmetry_space_group_name_Hall '-P 2y'
loop_
_atom_site_label
_atom_site_fract_x
_atom_site_fract_y
_atom_site_fract_z
Pr1 0.000 0.000 0.000
Ho1 0.500 0.000 0.500
Ho2 0.500 0.500 0.000
Hf1 0.000 0.500 0.500
N1 0.239 0.000 0.728
N2 0.249 0.500 0.274



3.
# Ho2PuHf3N6 | Alexandria | GGA-PBE | optimized geometry
# * raw formation energy: -39.90 kcal/mol of atoms
# * magnetization: 0.42 μB per atom
# * final energy: -0.7599 Ry per atom
data_Ho2PuHf3N6
_chemical_formula_sum 'Ho4 Pu2 Hf6 N12'
_cell_length_a 14.552
_cell_length_b 3.304
_cell_length_c 6.685
_cell_angle_alpha 90.00
_cell_angle_beta 104.26
_cell_angle_gamma 90.00
_symmetry_space_group_name_H-M 'C 1 2/m 1'
_symmetry_Int_Tables_number 12
_symmetry_space_group_name_Hall '-C 2y'
loop_
_atom_site_label
_atom_site_fract_x
_atom_site_fract_y
_atom_site_fract_z
Ho1 0.167 0.000 0.333
Pu1 0.000 0.500 0.000
Hf1 0.000 0.500 0.500
Hf2 0.167 0.000 0.833
N1 0.005 0.000 0.734
N2 0.162 0.500 0.596
N3 0.173 0.500 0.071



4.
# HoPu3Hf2N6 | Alexandria | GGA-PBE | optimized geometry
# * raw formation energy: -35.47 kcal/mol of atoms
# * magnetization: 1.23 μB per atom
# * final energy: -0.8323 Ry per atom
data_HoPu3Hf2N6
_chemical_formula_sum 'Ho2 Pu6 Hf4 N12'
_cell_length_a 5.841
_cell_length_b 10.107
_cell_length_c 5.887
_cell_angle_alpha 90.00
_cell_angle_beta 109.27
_cell_angle_gamma 90.00
_symmetry_space_group_name_H-M 'C 1 2/m 1'
_symmetry_Int_Tables_number 12
_symmetry_space_group_name_Hall '-C 2y'
loop_
_atom_site_label
_atom_site_fract_x
_atom_site_fract_y
_atom_site_fract_z
Ho1 0.000 0.000 0.000
Pu1 0.000 0.165 0.500
Pu2 0.000 0.500 0.500
Hf1 0.000 0.333 0.000
N1 0.227 0.500 0.229
N2 0.248 0.326 0.768



5.
# Ho2HfS2N2 | Alexandria | GGA-PBE | optimized geometry
# * raw formation energy: -39.93 kcal/mol of atoms
# * magnetization: 0.00 μB per atom
# * final energy: -0.5894 Ry per atom
data_Ho2HfS2N2
_chemical_formula_sum 'Ho4 Hf2 S4 N4'
_cell_length_a 4.155
_cell_length_b 4.155
_cell_length_c 13.981
_cell_angle_alpha 90.00
_cell_angle_beta 90.00
_cell_angle_gamma 90.00
_symmetry_space_group_name_H-M 'I 4/m m m'
_symmetry_Int_Tables_number 139
_symmetry_space_group_name_Hall '-I 4 2'
loop_
_atom_site_label
_atom_site_fract_x
_atom_site_fract_y
_atom_site_fract_z
Ho1 0.000 0.000 0.116
Hf1 0.000 0.000 0.500
S1 0.000 0.000 0.317
N1 0.000 0.500 0.000



6.
# HoHf2ScN4 | Alexandria | GGA-PBE | optimized geometry
# * raw formation energy: -42.46 kcal/mol of atoms
# * magnetization: 0.00 μB per atom
# * final energy: -0.7244 Ry per atom
data_HoHf2ScN4
_chemical_formula_sum 'Ho4 Hf8 Sc4 N16'
_cell_length_a 6.510
_cell_length_b 6.537
_cell_length_c 9.223
_cell_angle_alpha 90.00
_cell_angle_beta 90.00
_cell_angle_gamma 90.00
_symmetry_space_group_name_H-M 'I m m a'
_symmetry_Int_Tables_number 74
_symmetry_space_group_name_Hall '-I 2b 2'
loop_
_atom_site_label
_atom_site_fract_x
_atom_site_fract_y
_atom_site_fract_z
Ho1 0.250 0.250 0.250
Hf1 0.000 0.000 0.000
Hf2 0.250 0.250 0.750
Sc1 0.000 0.000 0.500
N1 0.000 0.014 0.753
N2 0.245 0.250 0.993



7.
# Ho2Hf3ScN6 | Alexandria | GGA-PBE | optimized geometry
# * raw formation energy: -42.24 kcal/mol of atoms
# * magnetization: 0.00 μB per atom
# * final energy: -0.7183 Ry per atom
data_Ho2Hf3ScN6
_chemical_formula_sum 'Ho4 Hf6 Sc2 N12'
_cell_length_a 14.345
_cell_length_b 3.267
_cell_length_c 6.578
_cell_angle_alpha 90.00
_cell_angle_beta 103.86
_cell_angle_gamma 90.00
_symmetry_space_group_name_H-M 'C 1 2/m 1'
_symmetry_Int_Tables_number 12
_symmetry_space_group_name_Hall '-C 2y'
loop_
_atom_site_label
_atom_site_fract_x
_atom_site_fract_y
_atom_site_fract_z
Ho1 0.165 0.000 0.330
Hf1 0.000 0.500 0.500
Hf2 0.165 0.000 0.834
Sc1 0.000 0.500 0.000
N1 0.005 0.000 0.747
N2 0.161 0.500 0.596
N3 0.168 0.500 0.069



8.
# Sm2HoHfN4 | Alexandria | GGA-PBE | optimized geometry
# * raw formation energy: -38.03 kcal/mol of atoms
# * magnetization: 0.00 μB per atom
# * final energy: -0.6474 Ry per atom
data_Sm2HoHfN4
_chemical_formula_sum 'Sm2 Ho1 Hf1 N4'
_cell_length_a 5.947
_cell_length_b 3.426
_cell_length_c 5.994
_cell_angle_alpha 90.00
_cell_angle_beta 109.08
_cell_angle_gamma 90.00
_symmetry_space_group_name_H-M 'P 1 2/m 1'
_symmetry_Int_Tables_number 10
_symmetry_space_group_name_Hall '-P 2y'
loop_
_atom_site_label
_atom_site_fract_x
_atom_site_fract_y
_atom_site_fract_z
Sm1 0.000 0.000 0.000
Sm2 0.500 0.500 0.000
Ho1 0.000 0.500 0.500
Hf1 0.500 0.000 0.500
N1 0.257 0.000 0.729
N2 0.271 0.500 0.277



9.
# SmHo2HfN4 | Alexandria | GGA-PBE | optimized geometry
# * raw formation energy: -38.98 kcal/mol of atoms
# * magnetization: 0.00 μB per atom
# * final energy: -0.6491 Ry per atom
data_SmHo2HfN4
_chemical_formula_sum 'Sm1 Ho2 Hf1 N4'
_cell_length_a 5.896
_cell_length_b 3.405
_cell_length_c 5.932
_cell_angle_alpha 90.00
_cell_angle_beta 109.21
_cell_angle_gamma 90.00
_symmetry_space_group_name_H-M 'P 1 2/m 1'
_symmetry_Int_Tables_number 10
_symmetry_space_group_name_Hall '-P 2y'
loop_
_atom_site_label
_atom_site_fract_x
_atom_site_fract_y
_atom_site_fract_z
Sm1 0.000 0.000 0.000
Ho1 0.500 0.000 0.500
Ho2 0.500 0.500 0.000
Hf1 0.000 0.500 0.500
N1 0.237 0.000 0.730
N2 0.246 0.500 0.268



10.
# SmHoHfN3 | Alexandria | GGA-PBE | optimized geometry
# * raw formation energy: -34.30 kcal/mol of atoms
# * magnetization: 0.00 μB per atom
# * final energy: -0.6511 Ry per atom
data_SmHoHfN3
_chemical_formula_sum 'Sm2 Ho2 Hf2 N6'
_cell_length_a 5.758
_cell_length_b 3.385
_cell_length_c 8.904
_cell_angle_alpha 90.00
_cell_angle_beta 101.54
_cell_angle_gamma 90.00
_symmetry_space_group_name_H-M 'P 1 21/m 1'
_symmetry_Int_Tables_number 11
_symmetry_space_group_name_Hall '-P 2yb'
loop_
_atom_site_label
_atom_site_fract_x
_atom_site_fract_y
_atom_site_fract_z
Sm1 0.159 0.250 0.198
Ho1 0.352 0.250 0.858
Hf1 0.265 0.750 0.541
N1 0.045 0.250 0.644
N2 0.249 0.750 0.005
N3 0.469 0.750 0.361



11.
# Tb2HoHf3N6 | Alexandria | GGA-PBE | optimized geometry
# * raw formation energy: -41.16 kcal/mol of atoms
# * magnetization: 0.00 μB per atom
# * final energy: -0.7048 Ry per atom
data_Tb2HoHf3N6
_chemical_formula_sum 'Tb4 Ho2 Hf6 N12'
_cell_length_a 14.584
_cell_length_b 3.309
_cell_length_c 6.690
_cell_angle_alpha 90.00
_cell_angle_beta 104.27
_cell_angle_gamma 90.00
_symmetry_space_group_name_H-M 'C 1 2/m 1'
_symmetry_Int_Tables_number 12
_symmetry_space_group_name_Hall '-C 2y'
loop_
_atom_site_label
_atom_site_fract_x
_atom_site_fract_y
_atom_site_fract_z
Tb1 0.167 0.000 0.333
Ho1 0.000 0.500 0.000
Hf1 0.000 0.500 0.500
Hf2 0.166 0.000 0.833
N1 0.006 0.000 0.738
N2 0.160 0.500 0.599
N3 0.172 0.500 0.067



12.
# TbHoHf2N4 | Alexandria | GGA-PBE | optimized geometry
# * raw formation energy: -41.20 kcal/mol of atoms
# * magnetization: 0.00 μB per atom
# * final energy: -0.7048 Ry per atom
data_TbHoHf2N4
_chemical_formula_sum 'Tb1 Ho1 Hf2 N4'
_cell_length_a 5.723
_cell_length_b 3.309
_cell_length_c 5.815
_cell_angle_alpha 90.00
_cell_angle_beta 109.24
_cell_angle_gamma 90.00
_symmetry_space_group_name_H-M 'P 1 2/m 1'
_symmetry_Int_Tables_number 10
_symmetry_space_group_name_Hall '-P 2y'
loop_
_atom_site_label
_atom_site_fract_x
_atom_site_fract_y
_atom_site_fract_z
Tb1 0.000 0.000 0.000
Ho1 0.500 0.500 0.000
Hf1 0.000 0.500 0.500
Hf2 0.500 0.000 0.500
N1 0.244 0.000 0.725
N2 0.260 0.500 0.276



13.
# Ho2HfTe2N2 | Alexandria | GGA-PBE | optimized geometry
# * raw formation energy: -33.31 kcal/mol of atoms
# * magnetization: 0.00 μB per atom
# * final energy: -0.5476 Ry per atom
data_Ho2HfTe2N2
_chemical_formula_sum 'Ho4 Hf2 Te4 N4'
_cell_length_a 4.177
_cell_length_b 4.177
_cell_length_c 17.820
_cell_angle_alpha 90.00
_cell_angle_beta 90.00
_cell_angle_gamma 90.00
_symmetry_space_group_name_H-M 'I 4/m m m'
_symmetry_Int_Tables_number 139
_symmetry_space_group_name_Hall '-I 4 2'
loop_
_atom_site_label
_atom_site_fract_x
_atom_site_fract_y
_atom_site_fract_z
Ho1 0.000 0.000 0.090
Hf1 0.000 0.000 0.500
Te1 0.000 0.000 0.332
N1 0.000 0.500 0.000



14.
# Ho2HfThN4 | Alexandria | GGA-PBE | optimized geometry
# * raw formation energy: -38.09 kcal/mol of atoms
# * magnetization: 0.00 μB per atom
# * final energy: -0.6711 Ry per atom
data_Ho2HfThN4
_chemical_formula_sum 'Ho2 Hf1 Th1 N4'
_cell_length_a 5.932
_cell_length_b 3.439
_cell_length_c 6.007
_cell_angle_alpha 90.00
_cell_angle_beta 109.20
_cell_angle_gamma 90.00
_symmetry_space_group_name_H-M 'P 1 2/m 1'
_symmetry_Int_Tables_number 10
_symmetry_space_group_name_Hall '-P 2y'
loop_
_atom_site_label
_atom_site_fract_x
_atom_site_fract_y
_atom_site_fract_z
Ho1 0.000 0.000 0.000
Ho2 0.000 0.500 0.500
Hf1 0.500 0.000 0.500
Th1 0.500 0.500 0.000
N1 0.256 0.000 0.730
N2 0.266 0.500 0.271



15.
# HoTm2Hf3N6 | Alexandria | GGA-PBE | optimized geometry
# * raw formation energy: -42.30 kcal/mol of atoms
# * magnetization: 0.00 μB per atom
# * final energy: -0.7065 Ry per atom
data_HoTm2Hf3N6
_chemical_formula_sum 'Ho2 Tm4 Hf6 N12'
_cell_length_a 5.696
_cell_length_b 9.855
_cell_length_c 5.751
_cell_angle_alpha 90.00
_cell_angle_beta 109.31
_cell_angle_gamma 90.00
_symmetry_space_group_name_H-M 'C 1 2/m 1'
_symmetry_Int_Tables_number 12
_symmetry_space_group_name_Hall '-C 2y'
loop_
_atom_site_label
_atom_site_fract_x
_atom_site_fract_y
_atom_site_fract_z
Ho1 0.000 0.000 0.000
Tm1 0.000 0.333 0.000
Hf1 0.000 0.167 0.500
Hf2 0.000 0.500 0.500
N1 0.242 0.332 0.731
N2 0.246 0.000 0.730



16.
# Ho2HfUN4 | Alexandria | GGA-PBE | optimized geometry
# * raw formation energy: -38.26 kcal/mol of atoms
# * magnetization: 0.08 μB per atom
# * final energy: -0.7071 Ry per atom
data_Ho2HfUN4
_chemical_formula_sum 'Ho2 Hf1 U1 N4'
_cell_length_a 5.832
_cell_length_b 3.364
_cell_length_c 5.859
_cell_angle_alpha 90.00
_cell_angle_beta 108.92
_cell_angle_gamma 90.00
_symmetry_space_group_name_H-M 'P 1 2/m 1'
_symmetry_Int_Tables_number 10
_symmetry_space_group_name_Hall '-P 2y'
loop_
_atom_site_label
_atom_site_fract_x
_atom_site_fract_y
_atom_site_fract_z
Ho1 0.000 0.000 0.000
Ho2 0.500 0.500 0.000
Hf1 0.000 0.500 0.500
U1 0.500 0.000 0.500
N1 0.241 0.000 0.726
N2 0.248 0.500 0.267



17.
# YHo2HfN4 | Alexandria | GGA-PBE | optimized geometry
# * raw formation energy: -40.80 kcal/mol of atoms
# * magnetization: 0.00 μB per atom
# * final energy: -0.6709 Ry per atom
data_YHo2HfN4
_chemical_formula_sum 'Y1 Ho2 Hf1 N4'
_cell_length_a 5.860
_cell_length_b 3.376
_cell_length_c 5.865
_cell_angle_alpha 90.00
_cell_angle_beta 109.23
_cell_angle_gamma 90.00
_symmetry_space_group_name_H-M 'P 1 2/m 1'
_symmetry_Int_Tables_number 10
_symmetry_space_group_name_Hall '-P 2y'
loop_
_atom_site_label
_atom_site_fract_x
_atom_site_fract_y
_atom_site_fract_z
Y1 0.000 0.000 0.000
Ho1 0.500 0.000 0.500
Ho2 0.500 0.500 0.000
Hf1 0.000 0.500 0.500
N1 0.235 0.000 0.733
N2 0.242 0.500 0.262



18.
# Ho2Hf3ZrN6 | Alexandria | GGA-PBE | optimized geometry
# * raw formation energy: -40.93 kcal/mol of atoms
# * magnetization: 0.00 μB per atom
# * final energy: -0.7277 Ry per atom
data_Ho2Hf3ZrN6
_chemical_formula_sum 'Ho4 Hf6 Zr2 N12'
_cell_length_a 5.675
_cell_length_b 9.826
_cell_length_c 5.732
_cell_angle_alpha 90.00
_cell_angle_beta 109.39
_cell_angle_gamma 90.00
_symmetry_space_group_name_H-M 'C 1 2/m 1'
_symmetry_Int_Tables_number 12
_symmetry_space_group_name_Hall '-C 2y'
loop_
_atom_site_label
_atom_site_fract_x
_atom_site_fract_y
_atom_site_fract_z
Ho1 0.000 0.167 0.000
Hf1 0.000 0.000 0.500
Hf2 0.000 0.333 0.500
Zr1 0.000 0.500 0.000
N1 0.240 0.500 0.728
N2 0.246 0.165 0.732



19.
# HoHfZr2N4 | Alexandria | GGA-PBE | optimized geometry
# * raw formation energy: -39.88 kcal/mol of atoms
# * magnetization: 0.00 μB per atom
# * final energy: -0.7236 Ry per atom
data_HoHfZr2N4
_chemical_formula_sum 'Ho1 Hf1 Zr2 N4'
_cell_length_a 5.701
_cell_length_b 3.277
_cell_length_c 5.705
_cell_angle_alpha 90.00
_cell_angle_beta 109.23
_cell_angle_gamma 90.00
_symmetry_space_group_name_H-M 'P 1 2/m 1'
_symmetry_Int_Tables_number 10
_symmetry_space_group_name_Hall '-P 2y'
loop_
_atom_site_label
_atom_site_fract_x
_atom_site_fract_y
_atom_site_fract_z
Ho1 0.000 0.000 0.000
Hf1 0.000 0.500 0.500
Zr1 0.500 0.000 0.500
Zr2 0.500 0.500 0.000
N1 0.244 0.000 0.737
N2 0.253 0.500 0.264



20.
# Ho3HfZr2N6 | Alexandria | GGA-PBE | optimized geometry
# * raw formation energy: -40.81 kcal/mol of atoms
# * magnetization: 0.00 μB per atom
# * final energy: -0.6858 Ry per atom
data_Ho3HfZr2N6
_chemical_formula_sum 'Ho6 Hf2 Zr4 N12'
_cell_length_a 5.761
_cell_length_b 9.961
_cell_length_c 5.807
_cell_angle_alpha 90.00
_cell_angle_beta 109.34
_cell_angle_gamma 90.00
_symmetry_space_group_name_H-M 'C 1 2/m 1'
_symmetry_Int_Tables_number 12
_symmetry_space_group_name_Hall '-C 2y'
loop_
_atom_site_label
_atom_site_fract_x
_atom_site_fract_y
_atom_site_fract_z
Ho1 0.000 0.000 0.000
Ho2 0.000 0.333 0.000
Hf1 0.000 0.500 0.500
Zr1 0.000 0.166 0.500
N1 0.241 0.336 0.733
N2 0.250 0.000 0.733